# 1
This record from Alexandria via LeMat-Bulk describes an optimized crystal structure of Cd8C. The functional is PBE.

Properties
As for the symmetry: No. 139. The calculation puts the formation energy at 0.563 eV/atom. Its crystal system is tetragonal. As for the total DFT energy (no corrections): -1.276 eV per atom.

Unit cell a=6.873 b=6.873 c=6.873 alpha=96.01 beta=96.01 gamma=142.23
Atoms (fractional coordinates):
Cd  0.000  0.319  0.319
Cd  0.340  0.340  0.680
Cd  0.000  0.681  0.681
Cd  0.660  0.660  0.320
Cd  0.340  0.660  0.000
Cd  0.319  0.000  0.319
Cd  0.681  0.000  0.681
Cd  0.660  0.340  0.000
C  0.000  0.000  0.000


# 2
This record from Alexandria via LeMat-Bulk describes an optimized crystal structure of Cd3C. The functional is PBE.

Properties
As for the symmetry: No. 59. The calculation puts the formation energy at 0.957 eV/atom. Its crystal system is orthorhombic. As for the total DFT energy (no corrections): -2.035 eV per atom.

Unit cell a=3.770 b=5.728 c=7.202 alpha=90.00 beta=90.00 gamma=90.00
Atoms (fractional coordinates):
Cd  0.500  0.799  0.810
Cd  0.500  0.345  0.000
Cd  0.000  0.201  0.310
Cd  0.500  0.799  0.190
Cd  0.000  0.655  0.500
Cd  0.000  0.201  0.690
C  0.500  0.942  0.500
C  0.000  0.058  0.000


# 3
This record from Alexandria via LeMat-Bulk describes an optimized crystal structure of Cd3C4. The functional is PBE.

Properties
As for the symmetry: No. 221. The calculation puts the formation energy at 2.653 eV/atom. Its crystal system is cubic. As for the total DFT energy (no corrections): -3.010 eV per atom.

Unit cell a=4.745 b=4.745 c=4.745 alpha=90.00 beta=90.00 gamma=90.00
Atoms (fractional coordinates):
Cd  0.500  0.000  0.000
Cd  0.000  0.000  0.500
Cd  0.000  0.500  0.000
C  0.000  0.500  0.500
C  0.500  0.500  0.000
C  0.000  0.000  0.000
C  0.500  0.000  0.500


# 4
This record from Alexandria via LeMat-Bulk describes an optimized crystal structure of Cd4C5. The functional is PBE.

Properties
As for the symmetry: No. 193. The calculation puts the formation energy at 2.098 eV/atom. Its crystal system is hexagonal. As for the total DFT energy (no corrections): -3.433 eV per atom.

Unit cell a=6.455 b=6.455 c=8.038 alpha=90.00 beta=90.00 gamma=120.00
Atoms (fractional coordinates):
Cd  0.515  0.000  0.250
Cd  0.000  0.515  0.250
Cd  0.000  0.000  0.000
Cd  0.000  0.000  0.500
Cd  0.000  0.485  0.750
Cd  0.485  0.000  0.750
Cd  0.485  0.485  0.250
Cd  0.515  0.515  0.750
C  0.000  0.865  0.250
C  0.135  0.135  0.250
C  0.135  0.000  0.750
C  0.333  0.667  0.000
C  0.000  0.135  0.750
C  0.333  0.667  0.500
C  0.865  0.000  0.250
C  0.667  0.333  0.000
C  0.865  0.865  0.750
C  0.667  0.333  0.500


# 5
This record from Alexandria via LeMat-Bulk describes an optimized crystal structure of CdC5. The functional is PBE.

Properties
As for the symmetry: No. 191. The calculation puts the formation energy at 3.049 eV/atom. Its crystal system is hexagonal. As for the total DFT energy (no corrections): -4.790 eV per atom.

Unit cell a=4.848 b=4.848 c=2.491 alpha=90.00 beta=90.00 gamma=120.00
Atoms (fractional coordinates):
Cd  0.000  0.000  0.000
C  0.500  0.500  0.500
C  0.667  0.333  0.000
C  0.000  0.500  0.500
C  0.333  0.667  0.000
C  0.500  0.000  0.500


# 6
This record from Alexandria via LeMat-Bulk describes an optimized crystal structure of Cd5C. The functional is PBE.

Properties
As for the symmetry: No. 216. The calculation puts the formation energy at 1.077 eV/atom. Its crystal system is cubic. As for the total DFT energy (no corrections): -1.223 eV per atom.

Unit cell a=5.697 b=5.697 c=5.697 alpha=60.00 beta=60.00 gamma=60.00
Atoms (fractional coordinates):
C  0.000  0.000  0.000
Cd  0.250  0.250  0.250
Cd  0.625  0.625  0.625
Cd  0.625  0.124  0.625
Cd  0.124  0.625  0.625
Cd  0.625  0.625  0.124


# 7
This record from Alexandria via LeMat-Bulk describes an optimized crystal structure of CdC3. The functional is PBE.

Properties
As for the symmetry: No. 225. The calculation puts the formation energy at 3.567 eV/atom. Its crystal system is cubic. As for the total DFT energy (no corrections): -3.579 eV per atom.

Unit cell a=3.962 b=3.962 c=3.962 alpha=60.00 beta=60.00 gamma=60.00
Atoms (fractional coordinates):
C  0.250  0.250  0.250
C  0.000  0.000  0.000
C  0.500  0.500  0.500
Cd  0.750  0.750  0.750


# 8
This record from Alexandria via LeMat-Bulk describes an optimized crystal structure of CdC. The functional is PBE.

Properties
As for the symmetry: No. 139. The calculation puts the formation energy at 0.749 eV/atom. Its crystal system is tetragonal. As for the total DFT energy (no corrections): -4.321 eV per atom.

Unit cell a=12.642 b=12.642 c=2.642 alpha=90.00 beta=90.00 gamma=90.00
Atoms (fractional coordinates):
C  0.254  0.746  0.000
C  0.746  0.254  0.000
C  0.246  0.246  0.500
C  0.754  0.754  0.500
C  0.754  0.246  0.500
C  0.254  0.254  0.000
C  0.246  0.754  0.500
C  0.746  0.746  0.000
Cd  0.180  0.000  0.500
Cd  0.000  0.180  0.500
Cd  0.680  0.500  0.000
Cd  0.500  0.320  0.000
Cd  0.000  0.820  0.500
Cd  0.500  0.680  0.000
Cd  0.820  0.000  0.500
Cd  0.320  0.500  0.000


# 9
This record from Alexandria via LeMat-Bulk describes an optimized crystal structure of CdC. The functional is PBE.

Properties
As for the symmetry: No. 12. The calculation puts the formation energy at 0.995 eV/atom. Its crystal system is monoclinic. As for the total DFT energy (no corrections): -4.075 eV per atom.

Unit cell a=6.018 b=7.070 c=3.360 alpha=76.25 beta=73.79 gamma=32.72
Atoms (fractional coordinates):
C  0.142  0.196  0.831
C  0.775  0.387  0.919
Cd  0.611  0.943  0.223
Cd  0.305  0.640  0.527


# 10
This record from Alexandria via LeMat-Bulk describes an optimized crystal structure of CdC. The functional is PBE.

Properties
As for the symmetry: No. 12. The calculation puts the formation energy at 0.843 eV/atom. Its crystal system is monoclinic. As for the total DFT energy (no corrections): -4.227 eV per atom.

Unit cell a=5.933 b=3.860 c=6.902 alpha=90.00 beta=101.52 gamma=90.00
Atoms (fractional coordinates):
Cd  0.213  0.500  0.614
Cd  0.787  0.000  0.886
Cd  0.213  0.000  0.114
Cd  0.787  0.500  0.386
C  0.428  0.500  0.919
C  0.572  0.000  0.581
C  0.572  0.500  0.081
C  0.428  0.000  0.419


# 11
This record from Alexandria via LeMat-Bulk describes an optimized crystal structure of CdC2. The functional is PBE.

Properties
As for the symmetry: No. 12. The calculation puts the formation energy at 1.225 eV/atom. Its crystal system is monoclinic. As for the total DFT energy (no corrections): -5.229 eV per atom.

Unit cell a=8.181 b=8.181 c=3.919 alpha=78.10 beta=78.10 gamma=19.07
Atoms (fractional coordinates):
Cd  0.633  0.633  0.544
Cd  0.367  0.367  0.456
C  0.964  0.964  0.100
C  0.265  0.265  0.937
C  0.036  0.036  0.900
C  0.735  0.735  0.063


# 12
This record from Alexandria via LeMat-Bulk describes an optimized crystal structure of CdC5. The functional is PBE.

Properties
As for the symmetry: No. 38. The calculation puts the formation energy at 1.174 eV/atom. Its crystal system is orthorhombic. As for the total DFT energy (no corrections): -6.665 eV per atom.

Unit cell a=7.670 b=7.670 c=2.830 alpha=90.00 beta=90.00 gamma=160.56
Atoms (fractional coordinates):
Cd  0.003  0.997  0.000
C  0.316  0.684  0.500
C  0.406  0.594  0.500
C  0.698  0.302  0.000
C  0.147  0.853  0.000
C  0.764  0.236  0.500